# 1
Tb3PrDy2S6 after structural relaxation. Source: Alexandria via LeMat-Bulk, functional GGA-PBE.

```
12
Lattice="-4.107 -3.372 4.323 6.659 0.723 1.435 -2.119 6.394 1.171" Properties=species:S:1:pos:R:3 pbc="T T T"
Tb 3.860 3.258 2.487
Tb -3.426 0.487 4.441
Tb 0.217 1.873 3.464
Pr 0.000 0.000 0.000
Dy 3.062 -0.645 2.400
Dy -0.510 -2.004 3.358
S -1.535 2.091 5.647
S 1.356 -0.354 4.553
S 1.969 1.654 1.281
S 2.171 3.501 4.653
S -0.923 4.099 2.375
S -1.737 0.244 2.275
```

Magnetization ... 0.00 μB per atom
ΔE_f (raw) ... -2.006 eV per atom
DFT total energy ... -6.392 eV/atom
Symmetry ... C2/m (12)

***

# 2
TbPr3Dy3S8 after structural relaxation. Source: Alexandria via LeMat-Bulk, functional GGA-PBE.

```
15
Lattice="-1.446 -6.632 -4.116 6.028 4.727 -2.080 0.489 -4.309 6.772" Properties=species:S:1:pos:R:3 pbc="T T T"
Tb 0.244 -2.155 3.386
Pr 0.000 0.000 0.000
Pr 3.014 2.364 -1.040
Pr 2.291 -0.952 -3.098
Dy -0.479 -5.471 1.328
Dy 2.536 -3.107 0.288
Dy 3.259 0.209 2.346
S 2.847 -0.432 -0.304
S 2.224 -5.782 0.880
S 2.093 -3.743 -2.359
S 2.978 -2.471 2.935
S -0.888 -6.081 -1.330
S 5.959 -0.133 1.907
S -0.173 -2.801 0.706
S 5.244 -3.413 -0.129
```

Magnetization ... 0.00 μB per atom
ΔE_f (raw) ... -2.050 eV per atom
DFT total energy ... -6.436 eV/atom
Symmetry ... R-3m (166)

***

# 3
Tb4PrDy3S8 after structural relaxation. Source: Alexandria via LeMat-Bulk, functional GGA-PBE.

```
16
Lattice="7.890 0.000 0.000 0.000 7.883 -0.011 -3.945 -3.941 5.583" Properties=species:S:1:pos:R:3 pbc="T T T"
Tb 3.945 0.000 0.000
Tb 1.972 -1.971 2.792
Tb 0.000 0.000 0.000
Tb -1.972 -1.971 2.792
Pr 0.000 3.941 -0.006
Dy 3.945 3.941 -0.006
Dy 1.972 1.971 2.786
Dy -1.972 1.971 2.786
S -1.923 2.007 5.566
S 0.000 3.928 2.844
S 0.000 0.012 2.797
S 1.923 2.007 5.566
S 2.022 1.934 0.006
S 3.945 3.929 2.774
S 3.945 0.013 2.728
S 5.868 1.934 0.006
```

Magnetization ... 0.00 μB per atom
ΔE_f (raw) ... -1.995 eV per atom
DFT total energy ... -6.378 eV/atom
Symmetry ... R-3m (166)

***

# 4
TbPr4Dy3S8 after structural relaxation. Source: Alexandria via LeMat-Bulk, functional GGA-PBE.

```
16
Lattice="-2.554 -7.195 2.181 7.401 -1.785 2.779 -3.693 6.502 2.669" Properties=species:S:1:pos:R:3 pbc="T T T"
Tb 3.700 -0.893 1.389
Pr -1.277 -3.597 1.091
Pr -3.124 -0.346 2.425
Pr 0.000 0.000 0.000
Pr -1.847 3.251 1.335
Dy 2.423 -4.490 2.480
Dy 0.576 -1.239 3.815
Dy 1.854 2.358 2.724
S 1.140 3.354 5.196
S 2.981 0.114 3.866
S -0.553 1.009 2.680
S -0.133 -0.232 6.283
S 1.286 -2.246 1.346
S 1.706 -3.487 4.949
S -1.828 -2.591 3.763
S 0.013 -5.832 2.433
```

Magnetization ... 0.00 μB per atom
ΔE_f (raw) ... -2.013 eV per atom
DFT total energy ... -6.424 eV/atom
Symmetry ... R-3m (166)

***

# 5
Tb3Pr4DyS8 after structural relaxation. Source: Alexandria via LeMat-Bulk, functional GGA-PBE.

```
16
Lattice="-1.951 0.624 -7.689 -7.835 -0.792 1.924 4.319 5.704 3.484" Properties=species:S:1:pos:R:3 pbc="T T T"
Tb -4.893 -0.084 -2.883
Tb -2.733 2.767 -1.141
Tb -1.758 2.456 2.704
Pr -0.975 0.312 -3.845
Pr 1.184 3.164 -2.103
Pr 0.000 0.000 0.000
Pr 2.160 2.852 1.742
Dy -3.918 -0.396 0.962
S -1.937 5.209 2.979
S -4.104 2.347 1.232
S -0.387 2.867 0.331
S -2.916 5.521 -0.878
S -2.550 0.014 -1.404
S -5.080 2.668 -2.612
S -1.362 3.188 -3.513
S -3.529 0.326 -5.261
```

Magnetization ... 0.00 μB per atom
ΔE_f (raw) ... -2.016 eV per atom
DFT total energy ... -6.430 eV/atom
Symmetry ... R-3m (166)

***

# 6
TbPr2Dy3S6 after structural relaxation. Source: Alexandria via LeMat-Bulk, functional GGA-PBE.

```
12
Lattice="3.950 0.000 0.000 0.000 8.019 0.246 -1.975 -2.354 8.354" Properties=species:S:1:pos:R:3 pbc="T T T"
Tb 1.975 0.000 0.000
Pr 1.975 3.767 5.722
Pr 0.000 1.898 2.878
Dy 1.975 4.010 0.123
Dy 1.975 -0.224 5.577
Dy 0.000 5.890 3.023
S 0.000 5.881 5.806
S 1.975 3.999 2.857
S 1.975 -0.215 2.794
S 1.975 -0.335 8.338
S 0.000 6.001 0.262
S 0.000 1.666 5.744
```

Magnetization ... 0.00 μB per atom
ΔE_f (raw) ... -2.004 eV per atom
DFT total energy ... -6.401 eV/atom
Symmetry ... C2/m (12)